1.
HoErAu4 | OQMD | PBE-GGA | optimized geometry; total energy = -0.16841 Ha/atom; ΔE_f = -0.882 eV/atom; crystal system = tetragonal
1.0
3.7157 0.0000 0.0000
0.0000 3.7157 0.0000
0.0000 0.0000 9.0066
Ho Er Au
1 1 4
Cartesian
0.0000 0.0000 0.0000
1.8578 1.8578 4.5033
0.0000 0.0000 3.0150
0.0000 0.0000 5.9916
1.8578 1.8578 1.4899
1.8578 1.8578 7.5167

***

2.
GdEr2NiSn3Ir2 | OQMD | PBE-GGA | optimized geometry; total energy = -0.22962 Ha/atom; crystal system = orthorhombic
1.0
3.7766 0.0000 0.0000
0.0000 6.5480 3.7677
0.0000 -6.5480 3.7677
Gd Er Ni Sn Ir
1 2 1 3 2
Cartesian
0.0000 0.0000 0.0000
0.0000 -2.6639 4.6013
0.0000 2.6639 4.6013
0.0000 0.0000 3.0800
1.8883 -1.6804 2.1104
1.8883 1.6804 2.1104
1.8883 0.0000 4.9893
1.8883 -4.3400 3.0622
1.8883 4.3400 3.0622